## PmNdTmLu (PBE)

Data for PmNdTmLu after structural relaxation.

The crystal system is cubic. For the energy relative to the elements, the calculation gives 0.091 eV per atom.

The structure belongs to space group F-43m (No. 216); the cell edges are 8.038, 8.038 and 8.038 Å and the angles 90.00°, 90.00° and 90.00°. Symmetry generates all atoms from Pm at (0.000, 0.000, 0.000), Nd at (0.000, 0.000, 0.500), Tm at (0.250, 0.250, 0.250) and Lu at (0.250, 0.250, 0.750).